Here is an optimized crystal structure of SrHfCuSi2 from the Alexandria database. Energies are from GGA-PBEsol.

The structure in POSCAR format:
```
SrHfCuSi2
1.0
5.0341 0.0000 0.0000
0.0000 5.0341 0.0000
0.0000 0.0000 4.6533
Sr Hf Cu Si
1 1 1 2
Cartesian
0.0000 0.0000 0.0000
2.5170 2.5170 2.3267
0.0000 0.0000 2.3267
0.0000 2.5170 0.0000
2.5170 0.0000 0.0000
```

Total energy: -3.98 eV/atom

Here is an optimized crystal structure of HfCuSn3 from the Alexandria database. Energies are from GGA-PBEsol.

The structure in POSCAR format:
```
HfCuSn3
1.0
4.9256 0.0000 0.0000
0.0000 4.9256 0.0000
0.0000 0.0000 4.9256
Hf Cu Sn
1 1 3
Cartesian
0.0000 0.0000 0.0000
2.4628 2.4628 2.4628
0.0000 2.4628 2.4628
2.4628 0.0000 2.4628
2.4628 2.4628 0.0000
```

ΔH_f (0 K): 511 meV/atom

Here is an optimized crystal structure of Hf5CuSn3 from the Alexandria database. Energies are from GGA-PBEsol.

The structure in POSCAR format:
```
Hf5CuSn3
1.0
8.4755 0.0000 0.0000
-4.2378 7.3400 0.0000
0.0000 0.0000 5.7439
Hf Cu Sn
10 2 6
Cartesian
-1.1116 1.9253 1.4360
-3.1262 5.4147 4.3079
2.2231 0.0000 1.4360
1.1116 1.9253 4.3079
0.0000 4.8934 0.0000
0.0000 4.8934 2.8719
4.2378 2.4467 0.0000
4.2378 2.4467 2.8719
6.2524 0.0000 4.3079
3.1262 5.4147 1.4360
0.0000 0.0000 0.0000
0.0000 0.0000 2.8719
-1.6411 2.8424 4.3079
-2.5967 4.4976 1.4360
3.2822 0.0000 4.3079
1.6411 2.8424 1.4360
5.1934 0.0000 1.4360
2.5967 4.4976 4.3079
```

ΔH_f (0 K): -443 meV/atom

Number 1: calculated volume 23.585 A^3/atom. Number 2: calculated volume 23.900 A^3/atom. Number 3: calculated volume 19.852 A^3/atom.